This record from Alexandria via LeMat-Bulk describes a relaxed SnAsH crystal. The functional is PBE.

Energy relative to the lowest polymorph listed for this composition ... 0.000 eV per atom
Energy ... -0.2957 Ry/atom
Spin magnetization ... 0.0 Bohr magnetons per cell
SG ... P-1

a b c (Å): 4.084 4.085 10.972
angles (deg): 87.89 87.78 60.04
Sites, in units of the cell vectors:
Sn: 0.992 0.993 0.130
H: 0.046 0.051 0.484
H: 0.954 0.949 0.516
As: 0.683 0.681 0.757
Sn: 0.008 0.007 0.870
As: 0.317 0.319 0.243